A geometry-optimized PuTl2F5 structure, computed with PBE.

The structure in CIF format:
```
data_PuTl2F5
_chemical_formula_sum 'Pu4 Tl8 F20'
_space_group_name_H-M_alt 'P n m a'
_space_group_IT_number 62
_cell_length_a 11.549
_cell_length_b 7.808
_cell_length_c 6.982
_cell_angle_alpha 90.00
_cell_angle_beta 90.00
_cell_angle_gamma 90.00
loop_
_space_group_symop_operation_xyz
'x,y,z'
'-x,-y,-z'
'-x+1/2,-y,z+1/2'
'x+1/2,y,-z+1/2'
'x+1/2,-y+1/2,-z+1/2'
'-x+1/2,y+1/2,z+1/2'
'-x,y+1/2,-z'
'x,-y+1/2,z'
loop_
_atom_site_label
_atom_site_type_symbol
_atom_site_fract_x
_atom_site_fract_y
_atom_site_fract_z
Pu1 Pu 0.001 0.250 0.052
Tl1 Tl 0.168 0.003 0.523
F1 F 0.017 0.250 0.389
F2 F 0.072 0.530 0.149
F3 F 0.169 0.250 0.879
F4 F 0.189 0.750 0.853
```

Summary:
The value obtained for the uncorrected formation energy is -2.70 eV per atom.

A geometry-optimized SrZr2Se structure, computed with PBE.

The structure in CIF format:
```
data_SrZr2Se
_chemical_formula_sum 'Sr1 Zr2 Se1'
_space_group_name_H-M_alt 'P 1 m 1'
_space_group_IT_number 6
_cell_length_a 3.856
_cell_length_b 4.341
_cell_length_c 6.862
_cell_angle_alpha 90.00
_cell_angle_beta 106.25
_cell_angle_gamma 90.00
loop_
_space_group_symop_operation_xyz
'x,y,z'
'x,-y,z'
loop_
_atom_site_label
_atom_site_type_symbol
_atom_site_fract_x
_atom_site_fract_y
_atom_site_fract_z
Sr1 Sr 0.000 0.000 0.000
Zr1 Zr 0.261 0.000 0.520
Zr2 Zr 0.741 0.500 0.481
Se1 Se 0.400 0.500 0.799
```

Summary:
The value obtained for the uncorrected formation energy is -0.47 eV per atom.

A geometry-optimized PmGeP2 structure, computed with PBE.

The structure in CIF format:
```
data_PmGeP2
_chemical_formula_sum 'Pm1 Ge1 P2'
_space_group_name_H-M_alt 'P 4/m m m'
_space_group_IT_number 123
_space_group_name_Hall '-P 4 2'
_cell_length_a 3.733
_cell_length_b 3.733
_cell_length_c 5.665
_cell_angle_alpha 90.00
_cell_angle_beta 90.00
_cell_angle_gamma 90.00
loop_
_atom_site_label
_atom_site_type_symbol
_atom_site_fract_x
_atom_site_fract_y
_atom_site_fract_z
Pm1 Pm 0.000 0.000 0.000
Ge1 Ge 0.000 0.000 0.500
P1 P 0.500 0.500 0.289
```

Summary:
The formation enthalpy at 0 K is -0.415 eV/atom. The value obtained for the excess energy over the best structure of this formula in the dataset is 0.003 eV/atom.

A geometry-optimized KMnBr2 structure, computed with PBE.

The structure in CIF format:
```
data_KMnBr2
_chemical_formula_sum 'K2 Mn2 Br4'
_space_group_name_H-M_alt 'I -4 m 2'
_space_group_IT_number 119
_space_group_name_Hall 'I -4 -2'
_cell_length_a 4.285
_cell_length_b 4.285
_cell_length_c 14.718
_cell_angle_alpha 90.00
_cell_angle_beta 90.00
_cell_angle_gamma 90.00
loop_
_atom_site_label
_atom_site_type_symbol
_atom_site_fract_x
_atom_site_fract_y
_atom_site_fract_z
K1 K 0.000 0.000 0.000
Mn1 Mn 0.000 0.500 0.750
Br1 Br 0.000 0.000 0.500
Br2 Br 0.000 0.500 0.250
```

Summary:
The value obtained for the uncorrected formation energy is -0.49 eV per atom. The value obtained for the excess energy over the best structure of this formula in the dataset is 0.260 eV/atom.

A geometry-optimized KMoAu2 structure, computed with PBE.

The structure in CIF format:
```
data_KMoAu2
_chemical_formula_sum 'K1 Mo1 Au2'
_space_group_name_H-M_alt 'P 1 2/m 1'
_space_group_IT_number 10
_cell_length_a 2.802
_cell_length_b 4.024
_cell_length_c 7.807
_cell_angle_alpha 90.00
_cell_angle_beta 90.10
_cell_angle_gamma 90.00
loop_
_space_group_symop_operation_xyz
'x,y,z'
'-x,-y,-z'
'-x,y,-z'
'x,-y,z'
loop_
_atom_site_label
_atom_site_type_symbol
_atom_site_fract_x
_atom_site_fract_y
_atom_site_fract_z
K1 K 0.000 0.000 0.000
Mo1 Mo 0.000 0.000 0.500
Au1 Au 0.499 0.500 0.315
```

Summary:
The formation enthalpy at 0 K is 0.287 eV/atom. The value obtained for the excess energy over the best structure of this formula in the dataset is 0.002 eV/atom.

A geometry-optimized CaZn2Cu structure, computed with PBE.

The structure in CIF format:
```
data_CaZn2Cu
_chemical_formula_sum 'Ca2 Zn4 Cu2'
_space_group_name_H-M_alt 'C 1 m 1'
_space_group_IT_number 8
_cell_length_a 7.464
_cell_length_b 4.309
_cell_length_c 5.606
_cell_angle_alpha 90.00
_cell_angle_beta 116.25
_cell_angle_gamma 90.00
loop_
_space_group_symop_operation_xyz
'x,y,z'
'x,-y,z'
'x+1/2,y+1/2,z'
'x+1/2,-y+1/2,z'
loop_
_atom_site_label
_atom_site_type_symbol
_atom_site_fract_x
_atom_site_fract_y
_atom_site_fract_z
Ca1 Ca 0.000 0.000 0.000
Zn1 Zn 0.197 0.000 0.592
Zn2 Zn 0.484 0.000 0.452
Cu1 Cu 0.305 0.500 0.415
```

Summary:
The formation enthalpy at 0 K is -0.203 eV/atom.

A geometry-optimized YMn2Tc structure, computed with PBE.

The structure in CIF format:
```
data_YMn2Tc
_chemical_formula_sum 'Y4 Mn8 Tc4'
_space_group_name_H-M_alt 'I -4 2 d'
_space_group_IT_number 122
_space_group_name_Hall 'I -4 2bw'
_cell_length_a 7.219
_cell_length_b 7.219
_cell_length_c 5.672
_cell_angle_alpha 90.00
_cell_angle_beta 90.00
_cell_angle_gamma 90.00
loop_
_atom_site_label
_atom_site_type_symbol
_atom_site_fract_x
_atom_site_fract_y
_atom_site_fract_z
Y1 Y 0.000 0.000 0.000
Mn1 Mn 0.193 0.250 0.625
Tc1 Tc 0.000 0.000 0.500
```

Summary:
The formation enthalpy at 0 K is 0.532 eV/atom. The value obtained for the excess energy over the best structure of this formula in the dataset is 0.340 eV/atom.

A geometry-optimized NbZn3 structure, computed with PBE.

The structure in CIF format:
```
data_NbZn3
_chemical_formula_sum 'Nb1 Zn3'
_space_group_name_H-M_alt 'P m m 2'
_space_group_IT_number 25
_cell_length_a 2.832
_cell_length_b 4.349
_cell_length_c 5.166
_cell_angle_alpha 90.00
_cell_angle_beta 90.00
_cell_angle_gamma 90.00
loop_
_space_group_symop_operation_xyz
'x,y,z'
'-x,-y,z'
'-x,y,z'
'x,-y,z'
loop_
_atom_site_label
_atom_site_type_symbol
_atom_site_fract_x
_atom_site_fract_y
_atom_site_fract_z
Nb1 Nb 0.000 0.000 0.000
Zn1 Zn 0.000 0.500 0.324
Zn2 Zn 0.500 0.000 0.497
Zn3 Zn 0.500 0.500 0.808
```

Summary:
The formation enthalpy at 0 K is 0.062 eV/atom.